Here is a geometry-optimized Ac2CoTeO6 structure from the Alexandria database. Energies are from PBE with a Hubbard U.

The structure in POSCAR format:
```
Ac2CoTeO6
1.0
5.606 0.000 0.000
0.000 5.606 0.000
0.000 0.000 5.099
Ac Co Te O
2 1 1 6
Direct
0.000 0.500 0.000
0.500 0.000 0.000
0.000 0.000 0.536
0.500 0.500 0.607
0.000 0.000 0.157
0.245 0.245 0.687
0.245 0.755 0.687
0.500 0.500 0.014
0.755 0.245 0.687
0.755 0.755 0.687
```

Summary:
crystal system: tetragonal
E_tot: -66.614 eV for the cell shown